VASP calculation (GGA-PBE) on HfPdPtAu after structural relaxation.

Cell: 4.082 4.082 4.981 Å, 114.20 114.19 90.00°
Positions (direct):
Pd: 0.500 0.500 0.000
Au: 0.250 0.750 0.500
Hf: 0.750 0.250 0.500
Pt: 0.000 0.000 0.000

Total moment in μB per cell: 0.00
E in eV per cell: -27.75

VASP calculation (GGA-PBE) on BePtIN2 after structural relaxation.

Cell: 3.757 3.757 8.391 Å, 90.00 90.00 90.00°
Positions (direct):
N: 0.500 0.000 0.000
Pt: 0.000 0.000 0.000
I: 0.000 0.000 0.500
N: 0.000 0.500 0.000
Be: 0.500 0.500 0.500

Raw formation energy in eV/atom: 1.226
Total moment in μB per cell: 0.00
E in eV per cell: -21.84

VASP calculation (GGA-PBE) on PmSnSb after structural relaxation.

Cell: 4.705 5.665 8.630 Å, 89.21 90.00 114.54°
Positions (direct):
Pm: 0.834 0.669 0.819
Pm: 0.166 0.331 0.181
Sb: 0.863 0.727 0.179
Sn: 0.665 0.330 0.462
Sb: 0.137 0.273 0.821
Sn: 0.335 0.670 0.538

Raw formation energy in eV/atom: -0.490
Total moment in μB per cell: 0.00
E in eV per cell: -28.69

VASP calculation (GGA-PBE) on GeRhO after structural relaxation.

Cell: 4.124 4.124 5.585 Å, 90.00 90.00 69.33°
Positions (direct):
Rh: 0.494 0.494 0.500
Ge: 0.668 0.943 0.250
O: 0.168 0.827 0.250
Rh: 0.494 0.494 0.000
Ge: 0.943 0.668 0.750
O: 0.827 0.168 0.750

Raw formation energy in eV/atom: -0.525
Total moment in μB per cell: 0.00
E in eV per cell: -37.01

VASP calculation (GGA-PBE) on TmGaSn3 after structural relaxation.

Cell: 6.357 6.239 12.507 Å, 90.00 90.00 90.00°
Positions (direct):
Sn: 0.750 0.025 0.732
Sn: 0.000 0.250 0.501
Ga: 0.000 0.750 0.878
Sn: 0.250 0.475 0.732
Sn: 0.250 0.975 0.268
Sn: 0.250 0.652 0.066
Sn: 0.750 0.848 0.066
Tm: 0.250 0.981 0.696
Sn: 0.750 0.525 0.268
Ga: 0.000 0.250 0.122
Sn: 0.000 0.750 0.499
Sn: 0.250 0.152 0.934
Sn: 0.500 0.750 0.499
Ga: 0.500 0.750 0.878
Sn: 0.500 0.250 0.501
Tm: 0.750 0.519 0.696
Ga: 0.500 0.250 0.122
Sn: 0.750 0.348 0.934
Tm: 0.250 0.481 0.304
Tm: 0.750 0.019 0.304

Total moment in μB per cell: 0.00
E in eV per cell: -83.67

VASP calculation (GGA-PBE) on La3Ge2Pd4 after structural relaxation.

Cell: 4.423 6.034 8.733 Å, 105.95 90.00 111.50°
Positions (direct):
Pd: 0.939 0.878 0.614
Pd: 0.285 0.571 0.931
Pd: 0.715 0.429 0.069
Pd: 0.061 0.122 0.386
Ge: 0.606 0.213 0.284
Ge: 0.394 0.787 0.716
La: 0.332 0.665 0.328
La: 0.668 0.335 0.672
La: 0.000 0.000 0.000

Total moment in μB per cell: 0.00
E in eV per cell: -52.63

VASP calculation (GGA-PBE) on Sm2TmHg after structural relaxation.

Cell: 3.633 3.633 10.934 Å, 80.44 80.44 60.00°
Positions (direct):
Sm: 0.256 0.256 0.233
Hg: 0.000 0.000 0.000
Tm: 0.500 0.500 0.500
Sm: 0.744 0.744 0.767

Total moment in μB per cell: 0.00
E in eV per cell: -14.74

VASP calculation (GGA-PBE) on Y8Ho6Er after structural relaxation.

Cell: 9.702 9.702 8.132 Å, 53.38 53.38 60.00°
Positions (direct):
Y: 0.412 0.412 0.765
Ho: 0.387 0.935 0.965
Ho: 0.935 0.713 0.965
Y: 0.230 0.930 0.486
Y: 0.645 0.770 0.514
Y: 0.588 0.588 0.235
Y: 0.770 0.070 0.514
Y: 0.930 0.355 0.486
Ho: 0.065 0.287 0.035
Y: 0.355 0.230 0.486
Ho: 0.287 0.613 0.035
Y: 0.070 0.645 0.514
Ho: 0.613 0.065 0.035
Er: 0.000 0.000 0.000
Ho: 0.713 0.387 0.965

Total moment in μB per cell: 0.00
E in eV per cell: -80.95